DFT (PBE) results for crystalline NaCuPdSeS2 at its relaxed geometry.

a b c (Å): 3.6332 12.9643 9.8265
angles (deg): 90.00 90.00 90.00
Space group Cmcm (No. 63)
Symmetry-distinct sites (fractional):
Na  0.0000  0.2453  0.2500 x4
Cu  0.0000  0.4478  0.7500 x4
Pd  0.0000  0.0000  0.0000 x4
Se  0.0000  0.0731  0.7500 x4
S  0.0000  0.3773  0.5407 x8

Calculated values
Crystal system: orthorhombic

DFT (PBE) results for crystalline NaCuTe2PdSe at its relaxed geometry.

a b c (Å): 3.9806 12.8902 10.5992
angles (deg): 90.00 90.00 90.00
Space group Cmcm (No. 63)
Symmetry-distinct sites (fractional):
Na  0.0000  0.2438  0.2500 x4
Cu  0.0000  0.0520  0.7500 x4
Te  0.0000  0.1428  0.5304 x8
Pd  0.0000  0.5000  0.0000 x4
Se  0.0000  0.4459  0.7500 x4

Calculated values
Crystal system: orthorhombic

DFT (PBE) results for crystalline Na4CuSi2Pd at its relaxed geometry.

a b c (Å): 4.6148 4.6148 6.5137
angles (deg): 90.00 90.00 90.00
Space group P-4m2 (No. 115)
Symmetry-distinct sites (fractional):
Na  0.0000  0.0000  0.0000 x1
Na  0.0000  0.5000  0.7438 x2
Na  0.5000  0.5000  0.5000 x1
Cu  0.0000  0.0000  0.5000 x1
Si  0.0000  0.5000  0.2446 x2
Pd  0.5000  0.5000  0.0000 x1

Calculated values
Crystal system: tetragonal

DFT (PBE) results for crystalline Na4CuSiPd2 at its relaxed geometry.

a b c (Å): 4.6708 4.6708 6.4491
angles (deg): 90.00 90.00 90.00
Space group P-4m2 (No. 115)
Symmetry-distinct sites (fractional):
Na  0.0000  0.0000  0.0000 x1
Na  0.0000  0.5000  0.2364 x2
Na  0.5000  0.5000  0.5000 x1
Cu  0.5000  0.5000  0.0000 x1
Si  0.0000  0.0000  0.5000 x1
Pd  0.0000  0.5000  0.7137 x2

Calculated values
Crystal system: tetragonal

DFT (PBE) results for crystalline Na4CuSn2Pd at its relaxed geometry.

a b c (Å): 4.8758 4.8758 6.8896
angles (deg): 90.00 90.00 90.00
Space group P-4m2 (No. 115)
Symmetry-distinct sites (fractional):
Na  0.0000  0.0000  0.0000 x1
Na  0.0000  0.5000  0.2487 x2
Na  0.5000  0.5000  0.5000 x1
Cu  0.5000  0.5000  0.0000 x1
Sn  0.0000  0.5000  0.7483 x2
Pd  0.0000  0.0000  0.5000 x1

Calculated values
Crystal system: tetragonal

DFT (PBE) results for crystalline NaCuTePd at its relaxed geometry.

a b c (Å): 6.6341 6.6341 6.6341
angles (deg): 90.00 90.00 90.00
Space group F-43m (No. 216)
Symmetry-distinct sites (fractional):
Na  0.0000  0.0000  0.0000 x4
Cu  0.2500  0.2500  0.7500 x4
Te  0.0000  0.0000  0.5000 x4
Pd  0.2500  0.2500  0.2500 x4

Calculated values
Crystal system: cubic
E above lowest polymorph (meV per atom): 0

DFT (PBE) results for crystalline NaCuTePd at its relaxed geometry.

a b c (Å): 6.6628 6.6628 6.6628
angles (deg): 90.00 90.00 90.00
Space group F-43m (No. 216)
Symmetry-distinct sites (fractional):
Na  0.0000  0.0000  0.0000 x4
Cu  0.0000  0.0000  0.5000 x4
Te  0.2500  0.2500  0.7500 x4
Pd  0.2500  0.2500  0.2500 x4

Calculated values
Crystal system: cubic
E above lowest polymorph (meV per atom): 87

DFT (PBE) results for crystalline NaCu3Te4Pd at its relaxed geometry.

a b c (Å): 6.2333 6.2333 6.2333
angles (deg): 90.00 90.00 90.00
Space group P-43m (No. 215)
Symmetry-distinct sites (fractional):
Na  0.0000  0.0000  0.0000 x1
Cu  0.0000  0.5000  0.5000 x3
Te  0.2611  0.2611  0.2611 x4
Pd  0.5000  0.5000  0.5000 x1

Calculated values
Crystal system: cubic

DFT (PBE) results for crystalline NaCuTePd at its relaxed geometry.

a b c (Å): 6.6588 6.6588 6.6588
angles (deg): 90.00 90.00 90.00
Space group F-43m (No. 216)
Symmetry-distinct sites (fractional):
Na  0.0000  0.0000  0.0000 x4
Cu  0.2500  0.2500  0.2500 x4
Te  0.2500  0.2500  0.7500 x4
Pd  0.0000  0.0000  0.5000 x4

Calculated values
Crystal system: cubic
E above lowest polymorph (meV per atom): 35

DFT (PBE) results for crystalline NaCuPdW at its relaxed geometry.

a b c (Å): 6.2788 6.2788 6.2788
angles (deg): 90.00 90.00 90.00
Space group F-43m (No. 216)
Symmetry-distinct sites (fractional):
Na  0.0000  0.0000  0.0000 x4
Cu  0.2500  0.2500  0.7500 x4
Pd  0.2500  0.2500  0.2500 x4
W  0.0000  0.0000  0.5000 x4

Calculated values
Crystal system: cubic
E above lowest polymorph (meV per atom): 0

DFT (PBE) results for crystalline NaCuPdW at its relaxed geometry.

a b c (Å): 6.2385 6.2385 6.2385
angles (deg): 90.00 90.00 90.00
Space group F-43m (No. 216)
Symmetry-distinct sites (fractional):
Na  0.0000  0.0000  0.0000 x4
Cu  0.2500  0.2500  0.2500 x4
Pd  0.0000  0.0000  0.5000 x4
W  0.2500  0.2500  0.7500 x4

Calculated values
Crystal system: cubic
E above lowest polymorph (meV per atom): 99

DFT (PBE) results for crystalline Na4ZnCuPd2 at its relaxed geometry.

a b c (Å): 4.6757 4.6757 6.6205
angles (deg): 90.00 90.00 90.00
Space group P-4m2 (No. 115)
Symmetry-distinct sites (fractional):
Na  0.0000  0.0000  0.0000 x1
Na  0.0000  0.5000  0.2422 x2
Na  0.5000  0.5000  0.5000 x1
Zn  0.0000  0.0000  0.5000 x1
Cu  0.5000  0.5000  0.0000 x1
Pd  0.0000  0.5000  0.7466 x2

Calculated values
Crystal system: tetragonal

Computed final energy, in the same sequence as the records: -4.040, -3.695, -3.026, -3.095, -2.889, -3.497, -3.410, -3.446, -3.462, -5.150, -5.050, -2.598 eV per atom.